# RuW2 (PBE-GGA, optimized geometry)
data_RuW2
_cell_length_a 2.7688
_cell_length_b 2.7688
_cell_length_c 12.1207
_cell_angle_alpha 90.00
_cell_angle_beta 90.00
_cell_angle_gamma 90.00
_symmetry_space_group_name_H-M 'I 4/m m m'
_symmetry_Int_Tables_number 139
_symmetry_space_group_name_Hall '-I 4 2'
loop_
_atom_site_label
_atom_site_type_symbol
_atom_site_fract_x
_atom_site_fract_y
_atom_site_fract_z
Ru1 Ru 0.0000 0.0000 0.0000
W1 W 0.0000 0.0000 0.3409
# - total DFT energy (no corrections) (eV/atom) = -11.615
# - V (A^3/atom) = 15.49
# - energy of formation (kJ per mole of atoms) = 10.9